Entry 1:
This record from Alexandria via LeMat-Bulk describes an optimized crystal structure of Mn2PbSe2. The functional is PBE.

Output
The uncorrected formation energy is 0.20 eV/f.u. The energy above the most stable polymorph in this dataset comes out at 149.2 meV/atom. The value obtained for the total energy is -57.64 eV for the cell shown. The size of the total moment is 8.7 μB per formula unit.

Structure (CIF):
```
data_Mn2PbSe2
_space_group_name_H-M_alt 'P 4/m b m'
_space_group_IT_number 127
_space_group_name_Hall '-P 4 2ab'
_cell_length_a 7.930
_cell_length_b 7.930
_cell_length_c 3.429
_cell_angle_alpha 90.00
_cell_angle_beta 90.00
_cell_angle_gamma 90.00
loop_
_atom_site_label
_atom_site_type_symbol
_atom_site_fract_x
_atom_site_fract_y
_atom_site_fract_z
_atom_site_occupancy
Mn1 Mn 0.122 0.378 0.000 1
Pb1 Pb 0.000 0.000 0.500 1
Se1 Se 0.152 0.652 0.500 1
```



Entry 2:
This record from Alexandria via LeMat-Bulk describes an optimized crystal structure of Mg2InTc. The functional is PBE.

Output
Its calculated formation energy is 261.7 meV per atom. The value obtained for the total energy is -45.74 eV for the cell shown. The size of the total moment is 0.9 μB per formula unit.

Structure (CIF):
```
data_Mg2InTc
_space_group_name_H-M_alt 'R 3 m'
_space_group_IT_number 160
_space_group_name_Hall 'R 3 -2"'
_cell_length_a 3.0798
_cell_length_b 3.0798
_cell_length_c 29.0502
_cell_angle_alpha 90.00
_cell_angle_beta 90.00
_cell_angle_gamma 120.00
loop_
_atom_site_label
_atom_site_type_symbol
_atom_site_fract_x
_atom_site_fract_y
_atom_site_fract_z
_atom_site_occupancy
Mg1 Mg 0.0000 0.0000 0.0000 1
Mg2 Mg 0.0000 0.0000 0.2417 1
In1 In 0.0000 0.0000 0.7574 1
Tc1 Tc 0.0000 0.0000 0.5005 1
```



Please write out number 2 again, unchanged.
This record from Alexandria via LeMat-Bulk describes an optimized crystal structure of Mg2InTc. The functional is PBE.

Output
Its calculated formation energy is 261.7 meV per atom. The value obtained for the total energy is -45.74 eV for the cell shown. The size of the total moment is 0.9 μB per formula unit.

Structure (CIF):
```
data_Mg2InTc
_space_group_name_H-M_alt 'R 3 m'
_space_group_IT_number 160
_space_group_name_Hall 'R 3 -2"'
_cell_length_a 3.0798
_cell_length_b 3.0798
_cell_length_c 29.0502
_cell_angle_alpha 90.00
_cell_angle_beta 90.00
_cell_angle_gamma 120.00
loop_
_atom_site_label
_atom_site_type_symbol
_atom_site_fract_x
_atom_site_fract_y
_atom_site_fract_z
_atom_site_occupancy
Mg1 Mg 0.0000 0.0000 0.0000 1
Mg2 Mg 0.0000 0.0000 0.2417 1
In1 In 0.0000 0.0000 0.7574 1
Tc1 Tc 0.0000 0.0000 0.5005 1
```



> The highest size of the total moment belongs to which entry?

Mn2PbSe2